No. 1
NaCr3Cu | GGA-PBE | relaxed

Total magnetic moment: 14.06 μB/cell
E_form: 2.084 eV per atom
Energy above the lowest structure with this stoichiometry: 0.8676 eV per atom
Raw total energy: -4.77 eV/atom

a = 4.914 Å, b = 4.914 Å, c = 4.914 Å
α = 90.00°, β = 90.00°, γ = 90.00°
Space group Pm-3m (No. 221)
Asymmetric unit:
Na  0.000  0.000  0.000
Cr  0.000  0.000  0.500
Cu  0.500  0.500  0.500

---

No. 2
Hf2Fe2Ru | GGA-PBE | relaxed

Total magnetic moment: 2.95 μB/cell
E_form: -0.191 eV per atom
Raw total energy: -9.41 eV/atom

a = 6.316 Å, b = 6.316 Å, c = 3.953 Å
α = 90.00°, β = 90.00°, γ = 90.00°
Space group P4/mbm (No. 127)
Asymmetric unit:
Hf  0.183  0.317  0.000
Fe  0.118  0.618  0.500
Ru  0.000  0.000  0.500

---

No. 3
InRePS2 | GGA-PBE | relaxed

Total magnetic moment: 0.00 μB/cell
Energy above the lowest structure with this stoichiometry: 0.0000 eV per atom
Raw total energy: -5.51 eV/atom
E_form (uncorrected): 259 meV per atom

a = 4.750 Å, b = 4.750 Å, c = 4.663 Å
α = 90.00°, β = 90.00°, γ = 90.00°
Space group P4/mmm (No. 123)
Asymmetric unit:
In  0.000  0.000  0.000
Re  0.500  0.500  0.500
P  0.500  0.500  0.000
S  0.000  0.500  0.500

---

No. 4
ThZn2Ni8 | GGA-PBE | relaxed

Total magnetic moment: 1.41 μB/cell
E_form: 0.225 eV per atom
Raw total energy: -4.89 eV/atom

a = 5.894 Å, b = 5.894 Å, c = 4.812 Å
α = 90.00°, β = 90.00°, γ = 90.00°
Space group P4/mmm (No. 123)
Asymmetric unit:
Th  0.000  0.000  0.000
Zn  0.000  0.500  0.500
Ni  0.301  0.301  0.244

---

No. 5
LiCaAs | GGA-PBE | relaxed

Total magnetic moment: 0.00 μB/cell
E_form: -0.699 eV per atom
Raw total energy: -3.55 eV/atom

a = 4.048 Å, b = 4.048 Å, c = 8.182 Å
α = 90.00°, β = 90.00°, γ = 90.00°
Space group I4mm (No. 107)
Asymmetric unit:
Li  0.000  0.000  0.000
Ca  0.000  0.000  0.326
As  0.000  0.000  0.684

---

No. 6
La4ZnPd3 | GGA-PBE | relaxed

Total magnetic moment: 0.00 μB/cell
E_form: -0.685 eV per atom
Raw total energy: -5.26 eV/atom

a = 3.981 Å, b = 4.642 Å, c = 11.394 Å
α = 90.00°, β = 90.00°, γ = 90.00°
Space group Pmm2 (No. 25)
Asymmetric unit:
La  0.000  0.000  0.000
La  0.000  0.500  0.263
La  0.500  0.000  0.488
La  0.500  0.500  0.770
Zn  0.000  0.000  0.704
Pd  0.000  0.500  0.556
Pd  0.500  0.000  0.219
Pd  0.500  0.500  0.046

---

No. 7
Na2AcInS4 | GGA-PBE | relaxed

Total magnetic moment: 0.00 μB/cell
Raw total energy: -4.54 eV/atom
E_form (uncorrected): -1286 meV per atom

a = 7.924 Å, b = 8.573 Å, c = 11.611 Å
α = 90.00°, β = 90.00°, γ = 90.00°
Space group Imma (No. 74)
Asymmetric unit:
Na  0.000  0.000  0.000
Na  0.250  0.250  0.250
Ac  0.000  0.000  0.500
In  0.250  0.250  0.750
S  0.000  0.036  0.755
S  0.246  0.250  0.994

---

No. 8
HOs2Se | GGA-PBE | relaxed

Total magnetic moment: 0.00 μB/cell
Energy above the lowest structure with this stoichiometry: 0.4010 eV per atom
Raw total energy: -6.30 eV/atom

a = 5.821 Å, b = 5.821 Å, c = 5.821 Å
α = 90.00°, β = 90.00°, γ = 90.00°
Space group Fm-3m (No. 225)
Asymmetric unit:
H  0.000  0.000  0.000
Os  0.250  0.250  0.250
Se  0.000  0.000  0.500